This record from Alexandria describes an optimized crystal structure of Sr2Li4GeSb3. The functional is GGA-PBE.

abc: 4.478 4.478 12.092
angles: 90.00 90.00 90.00
Space group P-4m2 (No. 115)
Symmetry-distinct sites (fractional):
1 Sr 0.000 0.500 0.246 (multiplicity 2)
2 Li 0.000 0.000 0.500 (multiplicity 1)
3 Li 0.000 0.500 0.866 (multiplicity 2)
4 Li 0.500 0.500 0.500 (multiplicity 1)
5 Ge 0.500 0.500 0.000 (multiplicity 1)
6 Sb 0.000 0.000 0.000 (multiplicity 1)
7 Sb 0.000 0.500 0.643 (multiplicity 2)

E_form (uncorrected), kJ/mol of atoms: -66.7
Spin magnetization, μB/f.u.: 0.00